VASP calculation (GGA+U) on VCdCuF6 after structural relaxation.

Values from the calculation:
Crystal system   tetragonal
Electronic total energy   -86.77 eV/cell
Mass density   4.52 Mg/m³
V   13.92 Å³/atom
SG   P4_2nm, No. 102
Magnetic moment   2.21 μB per formula unit

Structure (POSCAR):
```
VCdCuF6
1.0
4.975 0.000 0.000
0.000 4.975 0.000
0.000 0.000 10.120
V Cd Cu F
2 2 2 12
Cartesian
0.000 0.000 0.000
2.487 2.487 5.060
0.000 0.000 3.367
2.487 2.487 8.427
0.000 0.000 6.712
2.487 2.487 1.652
0.920 0.920 8.595
0.957 0.957 1.500
1.094 1.094 5.058
1.393 3.582 10.118
1.531 3.444 6.560
1.568 3.407 3.535
3.407 1.568 3.535
3.444 1.531 6.560
3.582 1.393 10.118
3.881 3.881 5.058
4.018 4.018 1.500
4.055 4.055 8.595
```

VASP calculation (GGA+U) on VCd2CuF after structural relaxation.

Values from the calculation:
Crystal system   tetragonal
Electronic total energy   -15.47 eV/cell
Mass density   6.17 Mg/m³
V   19.29 Å³/atom
SG   P4/mmm, No. 123
Magnetic moment   3.28 μB per formula unit

Structure (POSCAR):
```
VCd2CuF
1.0
4.892 0.000 0.000
0.000 4.892 0.000
0.000 0.000 4.031
V Cd Cu F
1 2 1 1
Cartesian
0.000 0.000 0.000
0.000 2.446 2.016
2.446 0.000 2.016
2.446 2.446 0.000
0.000 0.000 2.016
```